Record 1
VASP calculation (GGA-PBE) on a geometry-optimized VFeAg2 structure.

Cell and atoms, written as POSCAR:
```
VFeAg2
1.0
-3.615 3.615 2.606
3.615 -3.615 2.606
3.615 3.615 -2.606
V Fe Ag
2 2 4
Cartesian
0.000 0.000 0.000
0.000 3.615 1.303
3.615 0.000 1.303
0.000 0.000 2.606
1.807 1.904 -0.652
5.326 1.807 0.652
1.807 1.711 1.955
-1.711 1.807 3.258
```

Values from the calculation:
energy of formation from the pure elements: 929 meV per atom
energy above the lowest structure with this stoichiometry: 392 meV per atom
D(E_F): 11.1 states/eV per cell
space-group type: I-42d, No. 122

***

Record 2
VASP calculation (GGA-PBE) on a geometry-optimized YBePt3 structure.

Cell and atoms, written as POSCAR:
```
YBePt3
1.0
-2.437 2.437 9.953
2.437 -2.437 9.953
2.437 2.437 -9.953
Y Be Pt
2 2 6
Cartesian
0.000 0.000 0.000
0.000 2.437 4.977
2.437 0.000 2.651
2.437 0.000 7.302
0.000 0.000 7.301
0.000 1.210 2.476
0.000 0.000 12.606
-1.227 2.437 7.477
0.000 3.664 2.476
1.227 2.437 7.477
```

Values from the calculation:
energy of formation from the pure elements: -205 meV per atom
energy above the lowest structure with this stoichiometry: 752 meV per atom
D(E_F): 2.6 states/eV per cell
space-group type: I-4m2, No. 119

***

Record 3
VASP calculation (GGA-PBE) on a geometry-optimized AlCr2Mo structure.

Cell and atoms, written as POSCAR:
```
AlCr2Mo
1.0
1.518 -2.150 0.000
1.518 2.150 0.000
0.000 0.000 8.292
Al Cr Mo
1 2 1
Cartesian
0.000 0.000 0.000
0.000 0.000 4.368
1.518 0.000 6.223
1.518 0.000 2.251
```

Values from the calculation:
energy of formation from the pure elements: 27 meV per atom
D(E_F): 2.6 states/eV per cell
space-group type: Cmm2, No. 35

***

Record 4
VASP calculation (GGA-PBE) on a geometry-optimized HoBe2Pd3 structure.

Cell and atoms, written as POSCAR:
```
HoBe2Pd3
1.0
9.048 0.000 0.000
-4.524 7.836 0.000
0.000 0.000 3.866
Ho Be Pd
3 6 9
Cartesian
0.000 0.000 0.000
0.000 5.224 1.933
4.524 2.612 1.933
0.000 2.850 0.000
-2.056 6.411 0.000
2.468 1.425 0.000
2.056 6.411 0.000
6.580 1.425 0.000
4.524 4.986 0.000
-1.329 2.302 1.933
-2.262 3.918 0.000
-3.195 5.534 1.933
2.658 0.000 1.933
1.329 2.302 1.933
4.524 0.000 0.000
2.262 3.918 0.000
6.390 0.000 1.933
3.195 5.534 1.933
```

Values from the calculation:
energy of formation from the pure elements: -583 meV per atom
D(E_F): 10.9 states/eV per cell
space-group type: P6/mmm, No. 191

***

Record 5
VASP calculation (GGA-PBE) on a geometry-optimized AlSbTe2Au structure.

Cell and atoms, written as POSCAR:
```
AlSbTe2Au
1.0
5.619 0.000 0.000
0.000 5.619 0.000
0.000 0.000 5.236
Al Sb Te Au
1 1 2 1
Cartesian
0.000 0.000 0.000
2.809 2.809 0.000
0.000 2.809 2.618
2.809 0.000 2.618
2.809 2.809 2.618
```

Values from the calculation:
energy above the lowest structure with this stoichiometry: 0 meV per atom
D(E_F): 3.9 states/eV per cell
energy relative to the elements, uncorrected: 0.569 eV per atom
space-group type: P4/mmm, No. 123

***

Record 6
VASP calculation (GGA-PBE) on a geometry-optimized CaTb2InHg4 structure.

Cell and atoms, written as POSCAR:
```
CaTb2InHg4
1.0
2.599 1.501 8.655
-2.599 1.501 8.655
0.000 -3.002 8.655
Ca Tb In Hg
1 2 1 4
Cartesian
0.000 0.000 0.000
0.000 0.000 6.330
0.000 0.000 19.635
0.000 0.000 12.983
0.000 0.000 3.149
0.000 0.000 9.589
0.000 0.000 16.376
0.000 0.000 22.816
```

Values from the calculation:
energy of formation from the pure elements: -453 meV per atom
D(E_F): 3.3 states/eV per cell
space-group type: R-3m, No. 166